1.
A relaxed HfTh2Si4Pt3 crystal, computed with PBE.

Properties
The calculation puts the formation energy (no corrections) at -1.023 eV/atom.

Geometry as CIF:
```
data_HfTh2Si4Pt3
_symmetry_space_group_name_H-M 'P 1'
_symmetry_Int_Tables_number 1
_symmetry_space_group_name_Hall 'P 1'
_cell_length_a 4.274
_cell_length_b 4.274
_cell_length_c 10.359
_cell_angle_alpha 90.00
_cell_angle_beta 90.00
_cell_angle_gamma 90.00
loop_
_atom_site_label
_atom_site_type_symbol
_atom_site_fract_x
_atom_site_fract_y
_atom_site_fract_z
_atom_site_occupancy
Hf1 Hf 0.500 0.500 0.500 1
Th1 Th 0.500 0.000 0.238 1
Th2 Th 0.000 0.500 0.762 1
Si1 Si 0.500 0.500 0.000 1
Si2 Si 0.000 0.000 0.000 1
Si3 Si 0.500 0.000 0.651 1
Si4 Si 0.000 0.500 0.349 1
Pt1 Pt 0.000 0.000 0.500 1
Pt2 Pt 0.500 0.000 0.888 1
Pt3 Pt 0.000 0.500 0.112 1
```

---

2.
A relaxed Ag2TeSe2F2 crystal, computed with PBE.

Properties
The calculation puts the formation energy (no corrections) at -0.657 eV/atom.

Geometry as CIF:
```
data_Ag2TeSe2F2
_symmetry_space_group_name_H-M 'P 1'
_symmetry_Int_Tables_number 1
_symmetry_space_group_name_Hall 'P 1'
_cell_length_a 4.757
_cell_length_b 6.366
_cell_length_c 6.242
_cell_angle_alpha 68.36
_cell_angle_beta 67.52
_cell_angle_gamma 56.89
loop_
_atom_site_label
_atom_site_type_symbol
_atom_site_fract_x
_atom_site_fract_y
_atom_site_fract_z
_atom_site_occupancy
Ag1 Ag 0.124 0.678 0.700 1
Ag2 Ag 0.876 0.322 0.300 1
Te1 Te 0.000 0.000 0.000 1
Se1 Se 0.306 0.221 0.539 1
Se2 Se 0.694 0.779 0.461 1
F1 F 0.501 0.273 0.947 1
F2 F 0.499 0.727 0.053 1
```

---

3.
A relaxed Mg5Cd2Hg2Bi crystal, computed with PBE.

Properties
The total energy comes out at -1.504 eV/atom.

Geometry as CIF:
```
data_Mg5Cd2Hg2Bi
_symmetry_space_group_name_H-M 'P 1'
_symmetry_Int_Tables_number 1
_symmetry_space_group_name_Hall 'P 1'
_cell_length_a 4.413
_cell_length_b 10.446
_cell_length_c 10.446
_cell_angle_alpha 90.00
_cell_angle_beta 90.00
_cell_angle_gamma 90.00
loop_
_atom_site_label
_atom_site_type_symbol
_atom_site_fract_x
_atom_site_fract_y
_atom_site_fract_z
_atom_site_occupancy
Mg1 Mg 0.500 0.195 0.097 1
Mg2 Mg 0.500 0.805 0.903 1
Mg3 Mg 0.500 0.097 0.805 1
Mg4 Mg 0.500 0.695 0.403 1
Mg5 Mg 0.500 0.903 0.195 1
Mg6 Mg 0.500 0.305 0.597 1
Mg7 Mg 0.500 0.597 0.695 1
Mg8 Mg 0.500 0.403 0.305 1
Mg9 Mg 0.500 0.500 0.000 1
Mg10 Mg 0.500 0.000 0.500 1
Cd1 Cd 0.000 0.667 0.167 1
Cd2 Cd 0.000 0.333 0.833 1
Cd3 Cd 0.000 0.167 0.333 1
Cd4 Cd 0.000 0.833 0.667 1
Hg1 Hg 0.000 0.127 0.627 1
Hg2 Hg 0.000 0.873 0.373 1
Hg3 Hg 0.000 0.627 0.873 1
Hg4 Hg 0.000 0.373 0.127 1
Bi1 Bi 0.000 0.000 0.000 1
Bi2 Bi 0.000 0.500 0.500 1
```

---

4.
A relaxed K2TeSe crystal, computed with PBE.

Properties
The calculation puts the formation energy (no corrections) at -0.765 eV/atom. The energy above the lowest structure with this stoichiometry comes out at 6.8 kJ/mol of atoms.

Geometry as CIF:
```
data_K2TeSe
_symmetry_space_group_name_H-M 'P 1'
_symmetry_Int_Tables_number 1
_symmetry_space_group_name_Hall 'P 1'
_cell_length_a 4.526
_cell_length_b 4.453
_cell_length_c 7.682
_cell_angle_alpha 54.45
_cell_angle_beta 90.00
_cell_angle_gamma 90.00
loop_
_atom_site_label
_atom_site_type_symbol
_atom_site_fract_x
_atom_site_fract_y
_atom_site_fract_z
_atom_site_occupancy
K1 K 0.000 0.989 0.008 1
K2 K 0.000 0.511 0.492 1
Se1 Se 0.500 0.250 0.250 1
Te1 Te 0.500 0.750 0.750 1
```

---

5.
A relaxed Rb4Na3Bi2 crystal, computed with PBE.

Properties
The total energy comes out at -1.971 eV/atom.

Geometry as CIF:
```
data_Rb4Na3Bi2
_symmetry_space_group_name_H-M 'P 1'
_symmetry_Int_Tables_number 1
_symmetry_space_group_name_Hall 'P 1'
_cell_length_a 5.546
_cell_length_b 8.116
_cell_length_c 10.952
_cell_angle_alpha 104.82
_cell_angle_beta 104.67
_cell_angle_gamma 90.00
loop_
_atom_site_label
_atom_site_type_symbol
_atom_site_fract_x
_atom_site_fract_y
_atom_site_fract_z
_atom_site_occupancy
Rb1 Rb 0.223 0.678 0.445 1
Rb2 Rb 0.777 0.322 0.555 1
Rb3 Rb 0.573 0.850 0.145 1
Rb4 Rb 0.427 0.150 0.855 1
Na1 Na 0.105 0.232 0.209 1
Na2 Na 0.895 0.768 0.791 1
Na3 Na 0.000 0.500 0.000 1
Bi1 Bi 0.396 0.596 0.792 1
Bi2 Bi 0.604 0.404 0.208 1
```

---

6.
A relaxed SrAl6Pt3 crystal, computed with PBE.

Properties
The total energy comes out at -4.919 eV/atom.

Geometry as CIF:
```
data_SrAl6Pt3
_symmetry_space_group_name_H-M 'P 1'
_symmetry_Int_Tables_number 1
_symmetry_space_group_name_Hall 'P 1'
_cell_length_a 6.778
_cell_length_b 7.015
_cell_length_c 8.094
_cell_angle_alpha 111.93
_cell_angle_beta 90.00
_cell_angle_gamma 90.00
loop_
_atom_site_label
_atom_site_type_symbol
_atom_site_fract_x
_atom_site_fract_y
_atom_site_fract_z
_atom_site_occupancy
Sr1 Sr 0.500 0.500 0.500 1
Sr2 Sr 0.000 0.000 0.000 1
Al1 Al 0.178 0.916 0.616 1
Al2 Al 0.024 0.540 0.681 1
Al3 Al 0.307 0.305 0.757 1
Al4 Al 0.693 0.695 0.243 1
Al5 Al 0.976 0.460 0.319 1
Al6 Al 0.822 0.084 0.384 1
Al7 Al 0.322 0.416 0.116 1
Al8 Al 0.476 0.040 0.181 1
Al9 Al 0.193 0.805 0.257 1
Al10 Al 0.807 0.195 0.743 1
Al11 Al 0.524 0.960 0.819 1
Al12 Al 0.678 0.584 0.884 1
Pt1 Pt 0.839 0.797 0.579 1
Pt2 Pt 0.500 0.000 0.500 1
Pt3 Pt 0.161 0.203 0.421 1
Pt4 Pt 0.661 0.297 0.079 1
Pt5 Pt 0.000 0.500 0.000 1
Pt6 Pt 0.339 0.703 0.921 1
```

---

7.
A relaxed BaNiN crystal, computed with PBE.

Properties
The calculation puts the formation energy (no corrections) at -0.153 eV/atom.

Geometry as CIF:
```
data_BaNiN
_symmetry_space_group_name_H-M 'P 1'
_symmetry_Int_Tables_number 1
_symmetry_space_group_name_Hall 'P 1'
_cell_length_a 5.923
_cell_length_b 5.923
_cell_length_c 7.214
_cell_angle_alpha 90.00
_cell_angle_beta 90.00
_cell_angle_gamma 90.00
loop_
_atom_site_label
_atom_site_type_symbol
_atom_site_fract_x
_atom_site_fract_y
_atom_site_fract_z
_atom_site_occupancy
Ba1 Ba 0.000 0.500 0.000 1
Ba2 Ba 0.500 0.000 0.000 1
Ba3 Ba 0.500 0.000 0.500 1
Ba4 Ba 0.000 0.500 0.500 1
Ni1 Ni 0.000 0.000 0.832 1
Ni2 Ni 0.000 0.000 0.168 1
Ni3 Ni 0.500 0.500 0.332 1
Ni4 Ni 0.500 0.500 0.668 1
N1 N 0.000 0.000 0.586 1
N2 N 0.000 0.000 0.414 1
N3 N 0.500 0.500 0.086 1
N4 N 0.500 0.500 0.914 1
```

---

8.
A relaxed BeCu2Se crystal, computed with PBE.

Properties
The calculation puts the formation energy (no corrections) at 0.087 eV/atom. The energy above the lowest structure with this stoichiometry comes out at 1.1 kJ/mol of atoms.

Geometry as CIF:
```
data_BeCu2Se
_symmetry_space_group_name_H-M 'P 1'
_symmetry_Int_Tables_number 1
_symmetry_space_group_name_Hall 'P 1'
_cell_length_a 3.360
_cell_length_b 3.037
_cell_length_c 5.660
_cell_angle_alpha 89.69
_cell_angle_beta 90.00
_cell_angle_gamma 90.00
loop_
_atom_site_label
_atom_site_type_symbol
_atom_site_fract_x
_atom_site_fract_y
_atom_site_fract_z
_atom_site_occupancy
Be1 Be 0.500 0.501 0.798 1
Cu1 Cu 0.000 0.002 0.969 1
Cu2 Cu 0.500 0.501 0.183 1
Se1 Se 0.000 0.497 0.550 1
```

---

> What is the formula in the third record?

Mg5Cd2Hg2Bi

---

> What is the formula in the eighth record?

BeCu2Se